No. 1
Cd6Ag2Hg3: relaxed, PBE. Values from VASP.

Results
* crystal system: trigonal
* ΔH_f (0 K): 0.02 eV per atom

```
&SYSTEM
  ibrav = 0, nat = 11, ntyp = 3
/
ATOMIC_SPECIES
Ag 107.87 Ag.upf
Cd 112.41 Cd.upf
Hg 200.59 Hg.upf
ATOMIC_POSITIONS crystal
Ag 0.5439 0.5439 0.3684
Ag 0.4561 0.4561 0.6316
Cd 0.8177 0.8177 0.5468
Cd 0.6352 0.6352 0.0944
Cd 0.0947 0.0947 0.7159
Cd 0.3648 0.3648 0.9056
Cd 0.9053 0.9053 0.2841
Cd 0.1823 0.1823 0.4532
Hg 0.0000 0.0000 0.0000
Hg 0.2700 0.2700 0.1900
Hg 0.7300 0.7300 0.8100
CELL_PARAMETERS angstrom
3.2103 0.0000 0.1969
1.5991 2.7837 0.1969
-0.0593 -0.0343 27.2310
```

=====

No. 2
HoTm3Sc2S6: relaxed, PBE. Values from VASP.

Results
* crystal system: monoclinic
* ΔE_f (raw): -184.6 kJ per mole of atoms

```
&SYSTEM
  ibrav = 0, nat = 12, ntyp = 4
/
ATOMIC_SPECIES
Tm 168.93 Tm.upf
Sc 44.96 Sc.upf
S 32.06 S.upf
Ho 164.93 Ho.upf
ATOMIC_POSITIONS crystal
Tm 0.5000 0.5000 0.5000
Tm 0.1636 0.8364 0.5000
Tm 0.8364 0.1636 0.5000
Sc 0.6664 0.3336 0.0000
Sc 0.3336 0.6664 0.0000
S 0.4232 0.0819 0.2456
S 0.9181 0.5768 0.7544
S 0.2606 0.2606 0.7573
S 0.5768 0.9181 0.7544
S 0.0819 0.4232 0.2456
S 0.7394 0.7394 0.2427
Ho 0.0000 0.0000 0.0000
CELL_PARAMETERS angstrom
-1.2722 5.2086 -3.8351
-3.8770 -5.3256 -0.2497
-1.8697 2.4433 5.8203
```

=====

Number 1: density of states at the Fermi level 2.81 states/eV/f.u.. Number 2: density of states at the Fermi level 5.33 states/eV/f.u..